# CaLa2CoO6

An optimized crystal structure of CaLa2CoO6 (PBE+U, Alexandria via LeMat-Bulk).

Cell lengths 5.604, 5.604, 5.604 Å; angles 62.48, 62.48, 62.48 degrees
Site moments in Bohr magnetons follow the coordinates.
Fractional coordinates of all 10 atoms:
Ca (0.500, 0.500, 0.500)  -0.01
La (0.240, 0.240, 0.240)  0.00
La (0.760, 0.760, 0.760)  0.00
Co (0.000, 0.000, 0.000)  1.05
O (0.861, 0.211, 0.684)  -0.01
O (0.684, 0.861, 0.211)  -0.01
O (0.211, 0.684, 0.861)  -0.01
O (0.139, 0.789, 0.316)  -0.01
O (0.789, 0.316, 0.139)  -0.01
O (0.316, 0.139, 0.789)  -0.01

Output
SG   No. 148
Uncorrected energy   -7.21 eV/atom